The following is a PBE-GGA calculation of a relaxed KZrMo2 crystal, from Alexandria via LeMat-Bulk.

abc: 6.2498 6.2498 6.2498
angles: 154.08 128.29 58.73
Atoms (fractional coordinates):
K (0.0000, 0.0000, 0.0000)
Zr (0.5000, 0.5000, 0.0000)
Mo (0.2679, 0.7679, 0.5000)
Mo (0.7321, 0.2321, 0.5000)

Calculated values
For the calculated total energy, the calculation gives -26.16 eV/f.u. For the energy relative to the elements, the calculation gives 1286 meV/atom.